1.
YCoRu2 | GGA-PBE | relaxed

Cell lengths 4.052, 4.052, 17.945 Å; angles 90.00, 90.00, 90.00 degrees
Space group I-42d (No. 122)
Unique sites:
Y 0.000 0.000 0.000
Co 0.000 0.000 0.500
Ru 0.159 0.250 0.625

DOS(E_F)   5.82 states/eV/f.u.
E_form   0.436 eV/atom

=====

2.
YCo2Ru | GGA-PBE | relaxed

Cell lengths 3.180, 4.503, 8.771 Å; angles 90.00, 90.00, 90.00 degrees
Space group Imm2 (No. 44)
Unique sites:
Y 0.000 0.000 0.000
Co 0.000 0.000 0.491
Co 0.000 0.500 0.774
Ru 0.000 0.500 0.226

DOS(E_F)   4.90 states/eV/f.u.
E_form   0.200 eV/atom

=====

3.
YCoRu | GGA-PBE | relaxed

Cell lengths 4.0246, 4.0246, 4.0663 Å; angles 90.00, 90.00, 120.00 degrees
Space group P-6m2 (No. 187)
Unique sites:
Y 0.0000 0.0000 0.0000
Co 0.6667 0.3333 0.5000
Ru 0.3333 0.6667 0.5000

DOS(E_F)   3.55 states/eV/f.u.
E_form   -0.114 eV/atom

=====

4.
YCoRu2 | GGA-PBE | relaxed

Cell lengths 3.187, 4.454, 4.576 Å; angles 90.00, 90.00, 90.00 degrees
Space group Pmmm (No. 47)
Unique sites:
Y 0.000 0.000 0.000
Co 0.500 0.000 0.500
Ru 0.000 0.500 0.500
Ru 0.500 0.500 0.000

DOS(E_F)   4.09 states/eV/f.u.
E_form   0.208 eV/atom

=====

Polymorph energy (0 for the lowest one)
In order: 0.2929 0.2513 0.1313 0.0642
Unit: eV per atom
Total energy
In order: -7.594 -7.288 -7.730 -7.823
Unit: eV per atom